# 1
Computed, not measured: an optimized crystal structure of Li5Pt4 at the PBE level of DFT.

Cell: 7.3910 7.3910 5.1754 Å, 90.00 90.00 120.00°
Fractional coordinates of all 18 atoms:
Li  0.3333  0.6667  0.5000
Pt  0.3520  0.0000  0.2500
Pt  0.3520  0.3520  0.7500
Pt  0.0000  0.0000  0.5000
Pt  0.6480  0.6480  0.2500
Li  0.3333  0.6667  0.0000
Pt  0.0000  0.3520  0.2500
Li  0.6885  0.6885  0.7500
Li  0.0000  0.6885  0.2500
Li  0.6667  0.3333  0.5000
Pt  0.0000  0.0000  0.0000
Li  0.6885  0.0000  0.2500
Li  0.6667  0.3333  0.0000
Pt  0.0000  0.6480  0.7500
Li  0.3115  0.3115  0.2500
Pt  0.6480  0.0000  0.7500
Li  0.3115  0.0000  0.7500
Li  0.0000  0.3115  0.7500

Values from the calculation:
DOS at the Fermi energy	6.4	states/eV per cell
E above lowest polymorph	0.0	meV/atom
SG	No. 193



# 2
Computed, not measured: an optimized crystal structure of DyHoAl2 at the PBE level of DFT.

Cell: 3.5884 3.5884 7.1733 Å, 90.00 90.00 90.00°
Fractional coordinates of all 4 atoms:
Al  0.0000  0.0000  0.7518
Ho  0.5000  0.5000  0.0000
Al  0.0000  0.0000  0.2482
Dy  0.5000  0.5000  0.5000

Values from the calculation:
DOS at the Fermi energy	1.5	states/eV per cell
E above lowest polymorph	0.0	meV/atom
SG	No. 123



# 3
Computed, not measured: an optimized crystal structure of Pm2Pr2Dy2Mg at the PBE level of DFT.

Cell: 3.5407 6.1707 11.8760 Å, 110.82 90.00 106.67°
Fractional coordinates of all 7 atoms:
Mg  0.0000  0.0000  0.5000
Dy  0.6682  0.3364  0.0827
Pm  0.7650  0.5299  0.6383
Pr  0.4501  0.9002  0.2349
Dy  0.3318  0.6636  0.9173
Pm  0.2350  0.4701  0.3617
Pr  0.5499  0.0998  0.7651

Values from the calculation:
DOS at the Fermi energy	10.6	states/eV per cell
SG	No. 12



Energy of formation from the pure elements values, unit eV/atom, following the record order: -0.403, -0.397, 0.088.
Magnetic moment values, unit μB per formula unit, following the record order: 0.000, 0.000, 0.000.